No. 1
A plane-wave DFT calculation with PBE was carried out for Zn2In2Bi after structural relaxation.

Cell and atoms, written as POSCAR:
```
Zn2In2Bi
1.0
7.610 0.000 0.000
0.000 7.610 0.000
0.000 0.000 4.172
Zn In Bi
4 4 2
Direct
0.120 0.380 0.000
0.380 0.880 0.000
0.620 0.120 0.000
0.880 0.620 0.000
0.177 0.677 0.500
0.323 0.177 0.500
0.677 0.823 0.500
0.823 0.323 0.500
0.000 0.000 0.000
0.500 0.500 0.000
```

Properties
**Distance to the lowest polymorph of the same formula**: 0 meV per atom
**Crystal system**: tetragonal
**Total DFT energy (no corrections)**: -11.425 eV/f.u.
**Formation energy from the elements**: 0.10 eV/atom
**D(E_F)**: 1.84 states/eV/f.u.

=====

No. 2
A plane-wave DFT calculation with PBE was carried out for Zn3InBi after structural relaxation.

Cell and atoms, written as POSCAR:
```
Zn3InBi
1.0
5.133 0.000 0.000
0.000 5.133 0.000
0.000 0.000 5.133
Zn In Bi
3 1 1
Direct
0.000 0.000 0.500
0.000 0.500 0.000
0.500 0.000 0.000
0.000 0.000 0.000
0.500 0.500 0.500
```

Properties
**Distance to the lowest polymorph of the same formula**: 0 meV per atom
**Crystal system**: cubic
**Total DFT energy (no corrections)**: -7.768 eV/f.u.
**Formation energy from the elements**: 0.53 eV/atom
**D(E_F)**: 4.51 states/eV/f.u.

=====

No. 3
A plane-wave DFT calculation with PBE was carried out for ZnIn3Bi after structural relaxation.

Cell and atoms, written as POSCAR:
```
ZnIn3Bi
1.0
5.265 0.000 0.000
0.000 5.265 0.000
0.000 0.000 5.265
Zn In Bi
1 3 1
Direct
0.000 0.000 0.000
0.000 0.000 0.500
0.000 0.500 0.000
0.500 0.000 0.000
0.500 0.500 0.500
```

Properties
**Distance to the lowest polymorph of the same formula**: 0 meV per atom
**Crystal system**: cubic
**Total DFT energy (no corrections)**: -12.306 eV/f.u.
**Formation energy from the elements**: 0.21 eV/atom
**D(E_F)**: 1.70 states/eV/f.u.

=====

No. 4
A plane-wave DFT calculation with PBE was carried out for Zn3In3Bi after structural relaxation.

Cell and atoms, written as POSCAR:
```
Zn3In3Bi
1.0
7.553 0.000 0.000
0.000 7.553 0.000
0.000 0.000 7.553
Zn In Bi
6 6 2
Direct
0.000 0.250 0.500
0.000 0.750 0.500
0.250 0.500 0.000
0.500 0.000 0.250
0.500 0.000 0.750
0.750 0.500 0.000
0.000 0.500 0.250
0.000 0.500 0.750
0.250 0.000 0.500
0.500 0.250 0.000
0.500 0.750 0.000
0.750 0.000 0.500
0.000 0.000 0.000
0.500 0.500 0.500
```

Properties
**Crystal system**: cubic
**Total DFT energy (no corrections)**: -12.651 eV/f.u.
**Formation energy from the elements**: 0.47 eV/atom
**D(E_F)**: 2.90 states/eV/f.u.

=====

No. 5
A plane-wave DFT calculation with PBE was carried out for ZnInBi2 after structural relaxation.

Cell and atoms, written as POSCAR:
```
ZnInBi2
1.0
1.712 0.988 11.735
-1.712 0.988 11.735
0.000 -1.977 11.735
Zn In Bi
1 1 2
Direct
0.000 0.000 0.000
0.500 0.500 0.500
0.079 0.079 0.079
0.921 0.921 0.921
```

Properties
**Crystal system**: trigonal
**Total DFT energy (no corrections)**: -11.151 eV/f.u.
**Formation energy from the elements**: 0.16 eV/atom
**D(E_F)**: 1.44 states/eV/f.u.

=====

No. 6
A plane-wave DFT calculation with PBE was carried out for ZnInBi3 after structural relaxation.

Cell and atoms, written as POSCAR:
```
ZnInBi3
1.0
5.823 0.000 0.000
0.000 5.823 0.000
0.000 0.000 5.823
Zn In Bi
1 1 3
Direct
0.000 0.000 0.000
0.500 0.500 0.500
0.000 0.500 0.500
0.500 0.000 0.500
0.500 0.500 0.000
```

Properties
**Distance to the lowest polymorph of the same formula**: 388 meV per atom
**Crystal system**: cubic
**Total DFT energy (no corrections)**: -11.725 eV/f.u.
**Formation energy from the elements**: 0.79 eV/atom
**D(E_F)**: 5.07 states/eV/f.u.